# YRhBr3

Crystalline YRhBr3 at its relaxed geometry (PBE, the Alexandria database).

- space group = Pm-3m (221)
- uncorrected formation energy (meV per atom) = -362
- energy (eV/atom) = -4.1288
- energy relative to the lowest polymorph listed for this composition (eV/atom) = 0.0000

Cell lengths 5.540, 5.540, 5.540 Å; angles 90.00, 90.00, 90.00 degrees
Site moments in Bohr magnetons follow the coordinates.
Fractional positions:
Br 0.000 0.000 0.500  0.00
Br 0.500 0.000 0.000  0.01
Br 0.000 0.500 0.000  0.01
Rh 0.500 0.500 0.500  1.12
Y 0.000 0.000 0.000  -0.07